! SiSnN3, optimized geometry, DFT PBE; values from VASP
! Uncorrected formation energy   909.8 kJ/mol of formula units
! ρ   4387 kg/m³
! Uncorrected energy   -4.995 eV/atom
! N(E_F)   2.1 states/eV/f.u.
&SYSTEM
  ibrav = 0, nat = 5, ntyp = 3
/
ATOMIC_SPECIES
Si 28.09 Si.upf
Sn 118.71 Sn.upf
N 14.01 N.upf
CELL_PARAMETERS angstrom
4.150 0.000 0.000
0.000 4.150 0.000
0.000 0.000 4.150
ATOMIC_POSITIONS crystal
Si 0.000 0.000 0.000
Sn 0.500 0.500 0.500
N 0.000 0.500 0.500
N 0.500 0.000 0.500
N 0.500 0.500 0.000

! SiSnN3, optimized geometry, DFT PBE; values from VASP
! Uncorrected formation energy   294.5 kJ/mol of formula units
! ρ   6322 kg/m³
! Uncorrected energy   -6.270 eV/atom
! N(E_F)   2.7 states/eV/f.u.
&SYSTEM
  ibrav = 0, nat = 5, ntyp = 3
/
ATOMIC_SPECIES
Si 28.09 Si.upf
Sn 118.71 Sn.upf
N 14.01 N.upf
CELL_PARAMETERS angstrom
3.674 0.000 0.000
0.000 3.674 0.000
0.000 0.000 3.674
ATOMIC_POSITIONS crystal
Si 0.000 0.000 0.000
Sn 0.500 0.500 0.500
N 0.000 0.000 0.500
N 0.000 0.500 0.000
N 0.500 0.000 0.000

! Si2Sn5N6, optimized geometry, DFT PBE; values from VASP
! Uncorrected formation energy   -60.1 kJ/mol of formula units
! ρ   5026 kg/m³
! Uncorrected energy   -6.264 eV/atom
&SYSTEM
  ibrav = 0, nat = 26, ntyp = 3
/
ATOMIC_SPECIES
Si 28.09 Si.upf
Sn 118.71 Sn.upf
N 14.01 N.upf
CELL_PARAMETERS angstrom
4.028 -3.909 0.000
4.028 3.909 0.000
-2.470 0.000 15.396
ATOMIC_POSITIONS crystal
Si 0.054 0.417 0.070
Si 0.417 0.054 0.570
Si 0.583 0.946 0.430
Si 0.946 0.583 0.930
Sn 0.118 0.707 0.453
Sn 0.146 0.181 0.351
Sn 0.181 0.146 0.851
Sn 0.293 0.882 0.047
Sn 0.448 0.552 0.250
Sn 0.552 0.448 0.750
Sn 0.707 0.118 0.953
Sn 0.819 0.854 0.149
Sn 0.854 0.819 0.649
Sn 0.882 0.293 0.547
N 0.018 0.872 0.915
N 0.128 0.982 0.585
N 0.172 0.635 0.151
N 0.200 0.418 0.974
N 0.365 0.828 0.349
N 0.418 0.200 0.474
N 0.582 0.800 0.526
N 0.635 0.172 0.651
N 0.800 0.582 0.026
N 0.828 0.365 0.849
N 0.872 0.018 0.415
N 0.982 0.128 0.085

! Si2SnN, optimized geometry, DFT PBE; values from VASP
! Uncorrected formation energy   114.6 kJ/mol of formula units
! Relative energy among the computed polymorphs   0 meV per atom
! ρ   4722 kg/m³
! Uncorrected energy   -5.497 eV/atom
! N(E_F)   1.3 states/eV/f.u.
&SYSTEM
  ibrav = 0, nat = 8, ntyp = 3
/
ATOMIC_SPECIES
Si 28.09 Si.upf
Sn 118.71 Sn.upf
N 14.01 N.upf
CELL_PARAMETERS angstrom
-2.443 2.443 5.565
2.443 -2.443 5.565
2.443 2.443 -5.565
ATOMIC_POSITIONS crystal
Si 0.375 0.237 0.362
Si 0.763 0.125 0.138
Si 0.875 0.013 0.638
Si 0.987 0.625 0.862
Sn 0.250 0.750 0.500
Sn 0.500 0.500 0.000
N 0.000 0.000 0.000
N 0.750 0.250 0.500

! SiSnN2, optimized geometry, DFT PBE; values from VASP
! Uncorrected formation energy   -98.3 kJ/mol of formula units
! Relative energy among the computed polymorphs   0 meV per atom
! ρ   5386 kg/m³
! Uncorrected energy   -6.774 eV/atom
! N(E_F)   0.1 states/eV/f.u.
&SYSTEM
  ibrav = 0, nat = 8, ntyp = 3
/
ATOMIC_SPECIES
Si 28.09 Si.upf
Sn 118.71 Sn.upf
N 14.01 N.upf
CELL_PARAMETERS angstrom
-2.681 2.681 3.748
2.681 -2.681 3.748
2.681 2.681 -3.748
ATOMIC_POSITIONS crystal
Si 0.000 0.000 0.000
Si 0.750 0.250 0.500
Sn 0.250 0.750 0.500
Sn 0.500 0.500 0.000
N 0.375 0.243 0.368
N 0.757 0.125 0.132
N 0.875 0.007 0.632
N 0.993 0.625 0.868

! SiSnN, optimized geometry, DFT PBE; values from VASP
! Uncorrected formation energy   -44.8 kJ/mol of formula units
! ρ   5080 kg/m³
! Uncorrected energy   -6.072 eV/atom
! N(E_F)   1.1 states/eV/f.u.
&SYSTEM
  ibrav = 0, nat = 6, ntyp = 3
/
ATOMIC_SPECIES
Si 28.09 Si.upf
Sn 118.71 Sn.upf
N 14.01 N.upf
CELL_PARAMETERS angstrom
2.590 -1.488 0.000
2.590 1.488 0.000
-2.109 0.000 13.637
ATOMIC_POSITIONS crystal
Si 0.000 0.000 0.000
Si 0.126 0.126 0.512
Sn 0.425 0.425 0.316
Sn 0.918 0.918 0.799
N 0.350 0.350 0.041
N 0.812 0.812 0.556

! SiSnTeN2, optimized geometry, DFT PBE; values from VASP
! Uncorrected formation energy   446.9 kJ/mol of formula units
! Relative energy among the computed polymorphs   0 meV per atom
! ρ   6076 kg/m³
! Uncorrected energy   -4.917 eV/atom
! N(E_F)   2.0 states/eV/f.u.
&SYSTEM
  ibrav = 0, nat = 5, ntyp = 4
/
ATOMIC_SPECIES
Si 28.09 Si.upf
Sn 118.71 Sn.upf
Te 127.60 Te.upf
N 14.01 N.upf
CELL_PARAMETERS angstrom
3.904 0.000 0.000
0.000 3.904 0.000
0.000 0.000 5.424
ATOMIC_POSITIONS crystal
Si 0.000 0.000 0.000
Sn 0.500 0.500 0.500
Te 0.000 0.000 0.500
N 0.000 0.500 0.000
N 0.500 0.000 0.000

! SiSnTeN2, optimized geometry, DFT PBE; values from VASP
! Uncorrected formation energy   691.5 kJ/mol of formula units
! Relative energy among the computed polymorphs   507 meV per atom
! ρ   4788 kg/m³
! Uncorrected energy   -4.410 eV/atom
! N(E_F)   3.5 states/eV/f.u.
&SYSTEM
  ibrav = 0, nat = 5, ntyp = 4
/
ATOMIC_SPECIES
Si 28.09 Si.upf
Sn 118.71 Sn.upf
Te 127.60 Te.upf
N 14.01 N.upf
CELL_PARAMETERS angstrom
4.134 0.000 0.000
0.000 4.134 0.000
0.000 0.000 6.137
ATOMIC_POSITIONS crystal
Si 0.000 0.000 0.000
Sn 0.500 0.500 0.500
Te 0.500 0.500 0.000
N 0.000 0.500 0.500
N 0.500 0.000 0.500

! YSiSnN2, optimized geometry, DFT PBE; values from VASP
! Uncorrected formation energy   456.3 kJ/mol of formula units
! ρ   5021 kg/m³
! Uncorrected energy   -5.562 eV/atom
! N(E_F)   3.9 states/eV/f.u.
&SYSTEM
  ibrav = 0, nat = 5, ntyp = 4
/
ATOMIC_SPECIES
Y 88.91 Y.upf
Si 28.09 Si.upf
Sn 118.71 Sn.upf
N 14.01 N.upf
CELL_PARAMETERS angstrom
4.007 0.000 0.000
0.000 4.007 0.000
0.000 0.000 5.431
ATOMIC_POSITIONS crystal
Y 0.000 0.000 0.000
Si 0.000 0.000 0.500
Sn 0.500 0.500 0.000
N 0.000 0.500 0.500
N 0.500 0.000 0.500

! Zr2SiSnN, optimized geometry, DFT PBE; values from VASP
! Uncorrected formation energy   -228.0 kJ/mol of formula units
! ρ   6735 kg/m³
! Uncorrected energy   -7.442 eV/atom
! N(E_F)   3.8 states/eV/f.u.
&SYSTEM
  ibrav = 0, nat = 5, ntyp = 4
/
ATOMIC_SPECIES
Zr 91.22 Zr.upf
Si 28.09 Si.upf
Sn 118.71 Sn.upf
N 14.01 N.upf
CELL_PARAMETERS angstrom
4.685 0.000 0.000
0.000 4.685 0.000
0.000 0.000 3.856
ATOMIC_POSITIONS crystal
Zr 0.000 0.500 0.000
Zr 0.500 0.000 0.000
Si 0.000 0.000 0.500
Sn 0.500 0.500 0.500
N 0.000 0.000 0.000

! SrSi3N, optimized geometry, DFT PBE; values from VASP
! Uncorrected formation energy   268.9 kJ/mol of formula units
! Relative energy among the computed polymorphs   0 meV per atom
! ρ   3590 kg/m³
! Uncorrected energy   -4.698 eV/atom
! N(E_F)   4.1 states/eV/f.u.
&SYSTEM
  ibrav = 0, nat = 5, ntyp = 3
/
ATOMIC_SPECIES
Sr 87.62 Sr.upf
Si 28.09 Si.upf
N 14.01 N.upf
CELL_PARAMETERS angstrom
4.414 0.000 0.000
0.000 4.414 0.000
0.000 0.000 4.414
ATOMIC_POSITIONS crystal
Sr 0.000 0.000 0.000
Si 0.000 0.500 0.500
Si 0.500 0.000 0.500
Si 0.500 0.500 0.000
N 0.500 0.500 0.500

! SrSi2N3, optimized geometry, DFT PBE; values from VASP
! Uncorrected formation energy   -278.2 kJ/mol of formula units
! ρ   3482 kg/m³
! Uncorrected energy   -6.731 eV/atom
! N(E_F)   1.0 states/eV/f.u.
&SYSTEM
  ibrav = 0, nat = 12, ntyp = 3
/
ATOMIC_SPECIES
Sr 87.62 Sr.upf
Si 28.09 Si.upf
N 14.01 N.upf
CELL_PARAMETERS angstrom
3.688 -5.237 0.000
3.688 5.237 0.000
0.000 0.000 4.587
ATOMIC_POSITIONS crystal
Sr 0.209 0.791 0.750
Sr 0.791 0.209 0.250
Si 0.321 0.321 0.000
Si 0.321 0.321 0.500
Si 0.679 0.679 0.000
Si 0.679 0.679 0.500
N 0.125 0.345 0.750
N 0.345 0.125 0.250
N 0.424 0.576 0.250
N 0.576 0.424 0.750
N 0.655 0.875 0.750
N 0.875 0.655 0.250

- Among the records above, which one has the highest uncorrected formation energy?
  number 1